Record 1
HfZn2Au | PBE | optimized geometry

POSCAR file:
```
HfZn2Au
1.0
0.000 3.239 3.239
3.239 0.000 3.239
3.239 3.239 0.000
Hf Zn Au
1 2 1
direct
0.000 0.000 0.000
0.250 0.250 0.250
0.500 0.500 0.500
0.750 0.750 0.750
```

Values from the calculation:
* formation energy: -0.289 eV per atom

=====

Record 2
SmYNb2Si2 | PBE | optimized geometry

POSCAR file:
```
SmYNb2Si2
1.0
4.022 0.000 0.000
0.000 4.022 0.000
0.000 0.000 7.901
Sm Y Nb Si
1 1 2 2
direct
0.000 0.000 0.000
0.500 0.500 0.294
0.000 0.500 0.643
0.500 0.000 0.643
0.000 0.000 0.408
0.500 0.500 0.878
```

Values from the calculation:
* electronic total energy: -7.65 eV per atom

=====

Record 3
YBeGaPt | PBE | optimized geometry

POSCAR file:
```
YBeGaPt
1.0
0.000 3.240 3.240
3.240 0.000 3.240
3.240 3.240 0.000
Y Be Ga Pt
1 1 1 1
direct
0.000 0.000 0.000
0.250 0.250 0.250
0.500 0.500 0.500
0.750 0.750 0.750
```

Values from the calculation:
* electronic total energy: -5.28 eV per atom

=====

Record 4
BeInHg | PBE | optimized geometry

POSCAR file:
```
BeInHg
1.0
0.000 3.096 3.096
3.096 0.000 3.096
3.096 3.096 0.000
Be In Hg
1 1 1
direct
0.000 0.000 0.000
0.250 0.250 0.250
0.750 0.750 0.750
```

Values from the calculation:
* electronic total energy: -1.98 eV per atom

=====

Record 5
LuTlFeTe3 | PBE | optimized geometry

POSCAR file:
```
LuTlFeTe3
1.0
16.118 0.000 0.000
0.000 4.180 0.000
0.000 0.000 11.445
Lu Tl Fe Te
4 4 4 12
direct
0.020 0.250 0.158
0.480 0.750 0.658
0.520 0.250 0.342
0.980 0.750 0.842
0.236 0.250 0.474
0.264 0.750 0.974
0.736 0.250 0.026
0.764 0.750 0.526
0.010 0.750 0.425
0.490 0.250 0.925
0.510 0.750 0.075
0.990 0.250 0.575
0.090 0.750 0.622
0.102 0.250 0.925
0.131 0.750 0.267
0.369 0.250 0.767
0.398 0.750 0.425
0.410 0.250 0.122
0.590 0.750 0.878
0.602 0.250 0.575
0.631 0.750 0.233
0.869 0.250 0.733
0.898 0.750 0.075
0.910 0.250 0.378
```

Values from the calculation:
* electronic total energy: -4.72 eV per atom

=====

Record 6
ZnCoAsPd | PBE | optimized geometry

POSCAR file:
```
ZnCoAsPd
1.0
0.000 3.039 3.039
3.039 0.000 3.039
3.039 3.039 0.000
Zn Co As Pd
1 1 1 1
direct
0.000 0.000 0.000
0.750 0.750 0.750
0.500 0.500 0.500
0.250 0.250 0.250
```

Values from the calculation:
* electronic total energy: -4.63 eV per atom